1.
# TmMgZr2Rh4, relaxed, DFT PBE
data_TmMgZr2Rh4
_space_group_name_H-M_alt 'R -3 m'
_space_group_IT_number 166
_space_group_name_Hall '-R 3 2"'
_cell_length_a 4.6316
_cell_length_b 4.6316
_cell_length_c 22.7878
_cell_angle_alpha 90.00
_cell_angle_beta 90.00
_cell_angle_gamma 120.00
loop_
_atom_site_label
_atom_site_type_symbol
_atom_site_fract_x
_atom_site_fract_y
_atom_site_fract_z
Tm1 Tm 0.0000 0.0000 0.0000
Mg1 Mg 0.0000 0.0000 0.5000
Zr1 Zr 0.0000 0.0000 0.2449
Rh1 Rh 0.0000 0.0000 0.1243
Rh2 Rh 0.0000 0.0000 0.3756
# * formation enthalpy at 0 K: -629 kJ/mol of formula units
# * DFT total energy: -59.09 eV per formula unit

---

2.
# MgU2Rh9, relaxed, DFT PBE
data_MgU2Rh9
_space_group_name_H-M_alt 'P 4/m m m'
_space_group_IT_number 123
_space_group_name_Hall '-P 4 2'
_cell_length_a 4.010
_cell_length_b 4.010
_cell_length_c 11.755
_cell_angle_alpha 90.00
_cell_angle_beta 90.00
_cell_angle_gamma 90.00
loop_
_atom_site_label
_atom_site_type_symbol
_atom_site_fract_x
_atom_site_fract_y
_atom_site_fract_z
Mg1 Mg 0.000 0.000 0.000
U1 U 0.000 0.000 0.325
Rh1 Rh 0.000 0.500 0.164
Rh2 Rh 0.000 0.500 0.500
Rh3 Rh 0.500 0.500 0.000
Rh4 Rh 0.500 0.500 0.332
# * formation enthalpy at 0 K: -623 kJ/mol of formula units
# * DFT total energy: -96.79 eV per formula unit

---

3.
# Mg2URh3, relaxed, DFT PBE
data_Mg2URh3
_space_group_name_H-M_alt 'C m m m'
_space_group_IT_number 65
_space_group_name_Hall '-C 2 2'
_cell_length_a 4.507
_cell_length_b 12.966
_cell_length_c 3.486
_cell_angle_alpha 90.00
_cell_angle_beta 90.00
_cell_angle_gamma 90.00
loop_
_atom_site_label
_atom_site_type_symbol
_atom_site_fract_x
_atom_site_fract_y
_atom_site_fract_z
Mg1 Mg 0.000 0.176 0.000
U1 U 0.000 0.500 0.000
Rh1 Rh 0.000 0.000 0.500
Rh2 Rh 0.000 0.343 0.500
# * formation enthalpy at 0 K: -350 kJ/mol of formula units
# * DFT total energy: -40.16 eV per formula unit

---

4.
# Mg5URh6, relaxed, DFT PBE
data_Mg5URh6
_space_group_name_H-M_alt 'C m m m'
_space_group_IT_number 65
_space_group_name_Hall '-C 2 2'
_cell_length_a 4.528
_cell_length_b 13.331
_cell_length_c 6.367
_cell_angle_alpha 90.00
_cell_angle_beta 90.00
_cell_angle_gamma 90.00
loop_
_atom_site_label
_atom_site_type_symbol
_atom_site_fract_x
_atom_site_fract_y
_atom_site_fract_z
Mg1 Mg 0.000 0.000 0.000
Mg2 Mg 0.000 0.325 0.500
Mg3 Mg 0.000 0.331 0.000
U1 U 0.000 0.000 0.500
Rh1 Rh 0.000 0.160 0.256
Rh2 Rh 0.000 0.500 0.252
# * formation enthalpy at 0 K: -731 kJ/mol of formula units
# * DFT total energy: -70.94 eV per formula unit

---

5.
# MgU2Rh8, relaxed, DFT PBE
data_MgU2Rh8
_space_group_name_H-M_alt 'I m m m'
_space_group_IT_number 71
_space_group_name_Hall '-I 2 2'
_cell_length_a 3.894
_cell_length_b 7.780
_cell_length_c 12.043
_cell_angle_alpha 90.00
_cell_angle_beta 90.00
_cell_angle_gamma 90.00
loop_
_atom_site_label
_atom_site_type_symbol
_atom_site_fract_x
_atom_site_fract_y
_atom_site_fract_z
Mg1 Mg 0.000 0.000 0.000
U1 U 0.000 0.000 0.347
Rh1 Rh 0.000 0.238 0.500
Rh2 Rh 0.000 0.259 0.164
Rh3 Rh 0.000 0.500 0.327
# * formation enthalpy at 0 K: -481 kJ/mol of formula units
# * DFT total energy: -87.97 eV per formula unit

---

6.
# Mg3URh4, relaxed, DFT PBE
data_Mg3URh4
_space_group_name_H-M_alt 'P m m m'
_space_group_IT_number 47
_cell_length_a 3.412
_cell_length_b 4.491
_cell_length_c 8.652
_cell_angle_alpha 90.00
_cell_angle_beta 90.00
_cell_angle_gamma 90.00
loop_
_space_group_symop_operation_xyz
'x,y,z'
'-x,-y,-z'
'-x,-y,z'
'x,y,-z'
'x,-y,-z'
'-x,y,z'
'-x,y,-z'
'x,-y,z'
loop_
_atom_site_label
_atom_site_type_symbol
_atom_site_fract_x
_atom_site_fract_y
_atom_site_fract_z
Mg1 Mg 0.000 0.000 0.000
Mg2 Mg 0.000 0.500 0.233
U1 U 0.000 0.000 0.500
Rh1 Rh 0.500 0.000 0.265
Rh2 Rh 0.500 0.500 0.000
Rh3 Rh 0.500 0.500 0.500
# * formation enthalpy at 0 K: -460 kJ/mol of formula units
# * DFT total energy: -50.25 eV per formula unit

---

7.
# Mg2URh5, relaxed, DFT PBE
data_Mg2URh5
_space_group_name_H-M_alt 'I 4/m m m'
_space_group_IT_number 139
_space_group_name_Hall '-I 4 2'
_cell_length_a 4.179
_cell_length_b 4.179
_cell_length_c 14.394
_cell_angle_alpha 90.00
_cell_angle_beta 90.00
_cell_angle_gamma 90.00
loop_
_atom_site_label
_atom_site_type_symbol
_atom_site_fract_x
_atom_site_fract_y
_atom_site_fract_z
Mg1 Mg 0.000 0.000 0.250
U1 U 0.000 0.000 0.000
Rh1 Rh 0.000 0.000 0.500
Rh2 Rh 0.000 0.500 0.128
# * formation enthalpy at 0 K: -462 kJ/mol of formula units
# * DFT total energy: -56.03 eV per formula unit

---

8.
# Mg4URh5, relaxed, DFT PBE
data_Mg4URh5
_space_group_name_H-M_alt 'P 4/m m m'
_space_group_IT_number 123
_space_group_name_Hall '-P 4 2'
_cell_length_a 3.198
_cell_length_b 3.198
_cell_length_c 15.789
_cell_angle_alpha 90.00
_cell_angle_beta 90.00
_cell_angle_gamma 90.00
loop_
_atom_site_label
_atom_site_type_symbol
_atom_site_fract_x
_atom_site_fract_y
_atom_site_fract_z
Mg1 Mg 0.000 0.000 0.096
Mg2 Mg 0.000 0.000 0.284
U1 U 0.000 0.000 0.500
Rh1 Rh 0.500 0.500 0.000
Rh2 Rh 0.500 0.500 0.194
Rh3 Rh 0.500 0.500 0.391
# * formation enthalpy at 0 K: -483 kJ/mol of formula units
# * DFT total energy: -59.43 eV per formula unit

---

9.
# MgV2Rh2, relaxed, DFT PBE
data_MgV2Rh2
_space_group_name_H-M_alt 'I 4/m m m'
_space_group_IT_number 139
_space_group_name_Hall '-I 4 2'
_cell_length_a 4.115
_cell_length_b 4.115
_cell_length_c 10.102
_cell_angle_alpha 90.00
_cell_angle_beta 90.00
_cell_angle_gamma 90.00
loop_
_atom_site_label
_atom_site_type_symbol
_atom_site_fract_x
_atom_site_fract_y
_atom_site_fract_z
Mg1 Mg 0.000 0.000 0.000
V1 V 0.000 0.500 0.250
Rh1 Rh 0.000 0.000 0.375
# * formation enthalpy at 0 K: -71 kJ/mol of formula units
# * DFT total energy: -35.27 eV per formula unit

---

10.
# MgVRh3, relaxed, DFT PBE
data_MgVRh3
_space_group_name_H-M_alt 'P m -3 m'
_space_group_IT_number 221
_space_group_name_Hall '-P 4 2 3'
_cell_length_a 4.437
_cell_length_b 4.437
_cell_length_c 4.437
_cell_angle_alpha 90.00
_cell_angle_beta 90.00
_cell_angle_gamma 90.00
loop_
_atom_site_label
_atom_site_type_symbol
_atom_site_fract_x
_atom_site_fract_y
_atom_site_fract_z
Mg1 Mg 0.000 0.000 0.000
V1 V 0.500 0.500 0.500
Rh1 Rh 0.000 0.000 0.500
# * formation enthalpy at 0 K: 499 kJ/mol of formula units
# * DFT total energy: -27.59 eV per formula unit
# * polymorph energy (0 for the lowest one): 0.734 eV per atom

---

11.
# MgV2Rh7, relaxed, DFT PBE
data_MgV2Rh7
_space_group_name_H-M_alt 'C m m m'
_space_group_IT_number 65
_space_group_name_Hall '-C 2 2'
_cell_length_a 7.014
_cell_length_b 12.043
_cell_length_c 4.247
_cell_angle_alpha 90.00
_cell_angle_beta 90.00
_cell_angle_gamma 90.00
loop_
_atom_site_label
_atom_site_type_symbol
_atom_site_fract_x
_atom_site_fract_y
_atom_site_fract_z
Mg1 Mg 0.000 0.000 0.000
V1 V 0.000 0.297 0.500
Rh1 Rh 0.000 0.213 0.000
Rh2 Rh 0.000 0.500 0.500
Rh3 Rh 0.193 0.118 0.500
# * formation enthalpy at 0 K: 332 kJ/mol of formula units
# * DFT total energy: -67.85 eV per formula unit

---

12.
# Mg2VRh, relaxed, DFT PBE
data_Mg2VRh
_space_group_name_H-M_alt 'F m -3 m'
_space_group_IT_number 225
_space_group_name_Hall '-F 4 2 3'
_cell_length_a 6.437
_cell_length_b 6.437
_cell_length_c 6.437
_cell_angle_alpha 90.00
_cell_angle_beta 90.00
_cell_angle_gamma 90.00
loop_
_atom_site_label
_atom_site_type_symbol
_atom_site_fract_x
_atom_site_fract_y
_atom_site_fract_z
Mg1 Mg 0.250 0.250 0.250
V1 V 0.000 0.000 0.000
Rh1 Rh 0.000 0.000 0.500
# * formation enthalpy at 0 K: 21 kJ/mol of formula units
# * DFT total energy: -19.44 eV per formula unit
# * polymorph energy (0 for the lowest one): 0.000 eV per atom